The following is a SCAN calculation of CaSb at its PBEsol-relaxed geometry, from Alexandria. Values from VASP.

Energy relative to the elements, uncorrected in eV per atom: -0.053
SG: P-3m1 (164)

```
&SYSTEM
  ibrav = 0, nat = 4, ntyp = 2
/
ATOMIC_SPECIES
Ca 40.08 Ca.upf
Sb 121.76 Sb.upf
CELL_PARAMETERS angstrom
3.554 0.000 0.000
-1.777 3.078 0.000
0.000 0.000 11.516
ATOMIC_POSITIONS crystal
Ca 0.333 0.667 0.146
Ca 0.667 0.333 0.854
Sb 0.333 0.667 0.640
Sb 0.667 0.333 0.360
```


The following is a SCAN calculation of Cr2ReRu2 at its PBEsol-relaxed geometry, from Alexandria. Values from VASP.

SG: I4/mmm (139)
E_form in eV/atom: 0.656

```
&SYSTEM
  ibrav = 0, nat = 10, ntyp = 3
/
ATOMIC_SPECIES
Cr 52.00 Cr.upf
Re 186.21 Re.upf
Ru 101.07 Ru.upf
CELL_PARAMETERS angstrom
3.717 0.000 0.000
0.000 3.717 0.000
0.000 0.000 9.917
ATOMIC_POSITIONS crystal
Cr 0.000 0.000 0.100
Cr 0.000 0.000 0.900
Cr 0.500 0.500 0.400
Cr 0.500 0.500 0.600
Re 0.000 0.000 0.500
Re 0.500 0.500 0.000
Ru 0.000 0.500 0.250
Ru 0.000 0.500 0.750
Ru 0.500 0.000 0.250
Ru 0.500 0.000 0.750
```


The following is a SCAN calculation of ScCuMo at its PBEsol-relaxed geometry, from Alexandria. Values from VASP.

SG: Imm2 (44)
ΔE to the lowest computed polymorph in meV/atom: 0.0
E_form in eV/atom: 0.219

```
&SYSTEM
  ibrav = 0, nat = 6, ntyp = 3
/
ATOMIC_SPECIES
Sc 44.96 Sc.upf
Cu 63.55 Cu.upf
Mo 95.94 Mo.upf
CELL_PARAMETERS angstrom
2.923 0.000 0.000
0.000 3.382 0.000
0.000 0.000 9.639
ATOMIC_POSITIONS crystal
Sc 0.000 0.000 0.000
Sc 0.500 0.500 0.500
Cu 0.000 0.000 0.326
Cu 0.500 0.500 0.826
Mo 0.000 0.000 0.689
Mo 0.500 0.500 0.189
```


The following is a SCAN calculation of CaCrCo3 at its PBEsol-relaxed geometry, from Alexandria. Values from VASP.

SG: Pm-3m (221)
E_form in eV/atom: 0.877

```
&SYSTEM
  ibrav = 0, nat = 5, ntyp = 3
/
ATOMIC_SPECIES
Ca 40.08 Ca.upf
Cr 52.00 Cr.upf
Co 58.93 Co.upf
CELL_PARAMETERS angstrom
4.217 0.000 0.000
0.000 4.217 0.000
0.000 0.000 4.217
ATOMIC_POSITIONS crystal
Ca 0.000 0.000 0.000
Cr 0.500 0.500 0.500
Co 0.000 0.500 0.500
Co 0.500 0.000 0.500
Co 0.500 0.500 0.000
```


The following is a SCAN calculation of Ca9PrF20 at its PBEsol-relaxed geometry, from Alexandria. Values from VASP.

Energy relative to the elements, uncorrected in eV per atom: -4.131
SG: P-1 (2)

```
&SYSTEM
  ibrav = 0, nat = 60, ntyp = 3
/
ATOMIC_SPECIES
Ca 40.08 Ca.upf
Pr 140.91 Pr.upf
F 19.00 F.upf
CELL_PARAMETERS angstrom
7.716 0.000 0.000
-1.956 8.450 0.000
-0.108 -2.703 12.520
ATOMIC_POSITIONS crystal
Ca 0.025 0.103 0.150
Ca 0.072 0.298 0.456
Ca 0.123 0.503 0.753
Ca 0.169 0.696 0.047
Ca 0.224 0.909 0.351
Ca 0.274 0.100 0.651
Ca 0.314 0.297 0.955
Ca 0.423 0.701 0.550
Ca 0.472 0.910 0.852
Ca 0.528 0.090 0.148
Ca 0.577 0.299 0.450
Ca 0.686 0.703 0.045
Ca 0.726 0.900 0.349
Ca 0.776 0.091 0.649
Ca 0.831 0.304 0.953
Ca 0.877 0.497 0.247
Ca 0.928 0.702 0.544
Ca 0.975 0.897 0.850
Pr 0.365 0.497 0.244
Pr 0.635 0.503 0.756
F 0.011 0.052 0.328
F 0.033 0.143 0.973
F 0.064 0.249 0.627
F 0.082 0.345 0.287
F 0.117 0.448 0.922
F 0.140 0.551 0.574
F 0.161 0.665 0.231
F 0.193 0.754 0.873
F 0.213 0.852 0.524
F 0.237 0.950 0.176
F 0.259 0.053 0.824
F 0.290 0.153 0.477
F 0.322 0.236 0.125
F 0.337 0.349 0.777
F 0.360 0.448 0.427
F 0.402 0.561 0.071
F 0.413 0.655 0.726
F 0.434 0.754 0.375
F 0.461 0.850 0.025
F 0.485 0.949 0.674
F 0.515 0.051 0.326
F 0.539 0.150 0.975
F 0.566 0.246 0.625
F 0.587 0.345 0.274
F 0.598 0.439 0.929
F 0.640 0.552 0.573
F 0.663 0.651 0.223
F 0.678 0.764 0.875
F 0.710 0.847 0.523
F 0.741 0.947 0.176
F 0.763 0.050 0.824
F 0.787 0.148 0.476
F 0.807 0.246 0.127
F 0.839 0.335 0.769
F 0.860 0.449 0.426
F 0.883 0.552 0.078
F 0.918 0.655 0.713
F 0.936 0.751 0.373
F 0.967 0.857 0.027
F 0.989 0.948 0.672
```


The following is a SCAN calculation of CeSiPd2 at its PBEsol-relaxed geometry, from Alexandria. Values from VASP.

Energy relative to the elements, uncorrected in eV per atom: -0.920
SG: Pnma (62)

```
&SYSTEM
  ibrav = 0, nat = 16, ntyp = 3
/
ATOMIC_SPECIES
Ce 140.12 Ce.upf
Si 28.09 Si.upf
Pd 106.42 Pd.upf
CELL_PARAMETERS angstrom
7.644 0.000 0.000
0.000 6.737 0.000
0.000 0.000 5.509
ATOMIC_POSITIONS crystal
Ce 0.043 0.250 0.149
Ce 0.457 0.750 0.649
Ce 0.543 0.250 0.351
Ce 0.957 0.750 0.851
Si 0.117 0.750 0.341
Si 0.383 0.250 0.841
Si 0.617 0.750 0.159
Si 0.883 0.250 0.659
Pd 0.174 0.049 0.596
Pd 0.174 0.451 0.596
Pd 0.326 0.549 0.096
Pd 0.326 0.951 0.096
Pd 0.674 0.049 0.904
Pd 0.674 0.451 0.904
Pd 0.826 0.549 0.404
Pd 0.826 0.951 0.404
```


The following is a SCAN calculation of BaY2Si at its PBEsol-relaxed geometry, from Alexandria. Values from VASP.

Energy relative to the elements, uncorrected in eV per atom: 0.219
SG: F-43m (216)

```
&SYSTEM
  ibrav = 0, nat = 16, ntyp = 3
/
ATOMIC_SPECIES
Ba 137.33 Ba.upf
Y 88.91 Y.upf
Si 28.09 Si.upf
CELL_PARAMETERS angstrom
7.665 0.000 0.000
0.000 7.665 0.000
0.000 0.000 7.665
ATOMIC_POSITIONS crystal
Ba 0.000 0.000 0.000
Ba 0.000 0.500 0.500
Ba 0.500 0.000 0.500
Ba 0.500 0.500 0.000
Y 0.000 0.000 0.500
Y 0.000 0.500 0.000
Y 0.250 0.250 0.250
Y 0.250 0.750 0.750
Y 0.500 0.000 0.000
Y 0.500 0.500 0.500
Y 0.750 0.250 0.750
Y 0.750 0.750 0.250
Si 0.250 0.250 0.750
Si 0.250 0.750 0.250
Si 0.750 0.250 0.250
Si 0.750 0.750 0.750
```


The following is a SCAN calculation of TlCu7S4 at its PBEsol-relaxed geometry, from Alexandria. Values from VASP.

Energy relative to the elements, uncorrected in eV per atom: -0.206
SG: P4/n (85)

```
&SYSTEM
  ibrav = 0, nat = 48, ntyp = 3
/
ATOMIC_SPECIES
Tl 204.38 Tl.upf
Cu 63.55 Cu.upf
S 32.06 S.upf
CELL_PARAMETERS angstrom
10.002 0.000 0.000
0.000 10.002 0.000
0.000 0.000 7.407
ATOMIC_POSITIONS crystal
Tl 0.250 0.250 0.120
Tl 0.250 0.250 0.621
Tl 0.750 0.750 0.379
Tl 0.750 0.750 0.880
Cu 0.000 0.000 0.000
Cu 0.000 0.500 0.000
Cu 0.027 0.948 0.653
Cu 0.052 0.527 0.347
Cu 0.113 0.781 0.383
Cu 0.119 0.774 0.878
Cu 0.219 0.613 0.617
Cu 0.226 0.619 0.122
Cu 0.274 0.881 0.122
Cu 0.281 0.887 0.617
Cu 0.381 0.726 0.878
Cu 0.387 0.719 0.383
Cu 0.448 0.973 0.347
Cu 0.473 0.552 0.653
Cu 0.500 0.000 0.000
Cu 0.500 0.500 0.000
Cu 0.527 0.448 0.347
Cu 0.552 0.027 0.653
Cu 0.613 0.281 0.617
Cu 0.619 0.274 0.122
Cu 0.719 0.113 0.383
Cu 0.726 0.119 0.878
Cu 0.774 0.381 0.878
Cu 0.781 0.387 0.383
Cu 0.881 0.226 0.122
Cu 0.887 0.219 0.617
Cu 0.948 0.473 0.653
Cu 0.973 0.052 0.347
S 0.006 0.694 0.130
S 0.007 0.688 0.630
S 0.188 0.993 0.370
S 0.194 0.994 0.870
S 0.306 0.506 0.870
S 0.312 0.507 0.370
S 0.493 0.812 0.630
S 0.494 0.806 0.130
S 0.506 0.194 0.870
S 0.507 0.188 0.370
S 0.688 0.493 0.630
S 0.694 0.494 0.130
S 0.806 0.006 0.130
S 0.812 0.007 0.630
S 0.993 0.312 0.370
S 0.994 0.306 0.870
```


The following is a SCAN calculation of MnSi4Ru at its PBEsol-relaxed geometry, from Alexandria. Values from VASP.

Energy relative to the elements, uncorrected in eV per atom: 0.382
SG: F-43m (216)

```
&SYSTEM
  ibrav = 0, nat = 6, ntyp = 3
/
ATOMIC_SPECIES
Mn 54.94 Mn.upf
Si 28.09 Si.upf
Ru 101.07 Ru.upf
CELL_PARAMETERS angstrom
0.000 3.373 3.373
3.373 0.000 3.373
3.373 3.373 0.000
ATOMIC_POSITIONS crystal
Mn 0.000 0.000 0.000
Si 0.375 0.375 0.375
Si 0.375 0.375 0.875
Si 0.375 0.875 0.375
Si 0.875 0.375 0.375
Ru 0.750 0.750 0.750
```


The following is a SCAN calculation of Zr2AlZn at its PBEsol-relaxed geometry, from Alexandria. Values from VASP.

SG: P4/mmm (123)
E_form in eV/atom: -0.404

```
&SYSTEM
  ibrav = 0, nat = 4, ntyp = 3
/
ATOMIC_SPECIES
Zr 91.22 Zr.upf
Al 26.98 Al.upf
Zn 65.41 Zn.upf
CELL_PARAMETERS angstrom
3.017 0.000 0.000
0.000 3.017 0.000
0.000 0.000 8.016
ATOMIC_POSITIONS crystal
Zr 0.000 0.000 0.245
Zr 0.000 0.000 0.755
Al 0.500 0.500 0.500
Zn 0.500 0.500 0.000
```


The following is a SCAN calculation of TaHg2Te at its PBEsol-relaxed geometry, from Alexandria. Values from VASP.

Energy relative to the elements, uncorrected in eV per atom: 0.197
SG: P4mm (99)

```
&SYSTEM
  ibrav = 0, nat = 4, ntyp = 3
/
ATOMIC_SPECIES
Ta 180.95 Ta.upf
Hg 200.59 Hg.upf
Te 127.60 Te.upf
CELL_PARAMETERS angstrom
3.308 0.000 0.000
0.000 3.308 0.000
0.000 0.000 8.250
ATOMIC_POSITIONS crystal
Ta 0.000 0.000 0.000
Hg 0.000 0.000 0.516
Hg 0.500 0.500 0.776
Te 0.500 0.500 0.190
```


The following is a SCAN calculation of NaTlNi2As at its PBEsol-relaxed geometry, from Alexandria. Values from VASP.

SG: P4/mmm (123)
E_form in eV/atom: 1.385

```
&SYSTEM
  ibrav = 0, nat = 5, ntyp = 4
/
ATOMIC_SPECIES
Na 22.99 Na.upf
Tl 204.38 Tl.upf
Ni 58.69 Ni.upf
As 74.92 As.upf
CELL_PARAMETERS angstrom
4.511 0.000 0.000
0.000 4.511 0.000
0.000 0.000 4.747
ATOMIC_POSITIONS crystal
Na 0.000 0.000 0.000
Tl 0.500 0.500 0.500
Ni 0.000 0.500 0.000
Ni 0.500 0.000 0.000
As 0.000 0.000 0.500
```


The following is a SCAN calculation of KCr2Co at its PBEsol-relaxed geometry, from Alexandria. Values from VASP.

SG: Cm (8)
ΔE to the lowest computed polymorph in meV/atom: 144.3
E_form in eV/atom: 0.846

```
&SYSTEM
  ibrav = 0, nat = 8, ntyp = 3
/
ATOMIC_SPECIES
K 39.10 K.upf
Cr 52.00 Cr.upf
Co 58.93 Co.upf
CELL_PARAMETERS angstrom
8.188 0.000 0.000
0.000 2.754 0.000
-1.085 0.000 6.834
ATOMIC_POSITIONS crystal
K 0.000 0.000 0.000
K 0.500 0.500 0.000
Cr 0.301 0.500 0.394
Cr 0.495 0.000 0.520
Cr 0.801 0.000 0.394
Cr 0.995 0.500 0.520
Co 0.221 0.000 0.631
Co 0.721 0.500 0.631
```


The following is a SCAN calculation of SbIrF3 at its PBEsol-relaxed geometry, from Alexandria. Values from VASP.

Energy relative to the elements, uncorrected in eV per atom: -0.389
SG: Pm-3m (221)

```
&SYSTEM
  ibrav = 0, nat = 5, ntyp = 3
/
ATOMIC_SPECIES
Sb 121.76 Sb.upf
Ir 192.22 Ir.upf
F 19.00 F.upf
CELL_PARAMETERS angstrom
4.226 0.000 0.000
0.000 4.226 0.000
0.000 0.000 4.226
ATOMIC_POSITIONS crystal
Sb 0.000 0.000 0.000
Ir 0.500 0.500 0.500
F 0.000 0.500 0.500
F 0.500 0.000 0.500
F 0.500 0.500 0.000
```


The following is a SCAN calculation of SrGa3P at its PBEsol-relaxed geometry, from Alexandria. Values from VASP.

SG: Pm-3m (221)
E_form in eV/atom: 0.067

```
&SYSTEM
  ibrav = 0, nat = 5, ntyp = 3
/
ATOMIC_SPECIES
Sr 87.62 Sr.upf
Ga 69.72 Ga.upf
P 30.97 P.upf
CELL_PARAMETERS angstrom
4.932 0.000 0.000
0.000 4.932 0.000
0.000 0.000 4.932
ATOMIC_POSITIONS crystal
Sr 0.000 0.000 0.000
Ga 0.000 0.500 0.500
Ga 0.500 0.000 0.500
Ga 0.500 0.500 0.000
P 0.500 0.500 0.500
```


The following is a SCAN calculation of SnBi2N2 at its PBEsol-relaxed geometry, from Alexandria. Values from VASP.

Energy relative to the elements, uncorrected in eV per atom: 1.172
SG: P4/mbm (127)

```
&SYSTEM
  ibrav = 0, nat = 10, ntyp = 3
/
ATOMIC_SPECIES
Sn 118.71 Sn.upf
Bi 208.98 Bi.upf
N 14.01 N.upf
CELL_PARAMETERS angstrom
8.039 0.000 0.000
0.000 8.039 0.000
0.000 0.000 3.342
ATOMIC_POSITIONS crystal
Sn 0.000 0.000 0.000
Sn 0.500 0.500 0.000
Bi 0.154 0.346 0.000
Bi 0.346 0.846 0.000
Bi 0.654 0.154 0.000
Bi 0.846 0.654 0.000
N 0.218 0.718 0.500
N 0.282 0.218 0.500
N 0.718 0.782 0.500
N 0.782 0.282 0.500
```


The following is a SCAN calculation of SrLa2Pb at its PBEsol-relaxed geometry, from Alexandria. Values from VASP.

SG: F-43m (216)
E_form in eV/atom: -0.261

```
&SYSTEM
  ibrav = 0, nat = 16, ntyp = 3
/
ATOMIC_SPECIES
Sr 87.62 Sr.upf
La 138.91 La.upf
Pb 207.20 Pb.upf
CELL_PARAMETERS angstrom
8.067 0.000 0.000
0.000 8.067 0.000
0.000 0.000 8.067
ATOMIC_POSITIONS crystal
Sr 0.000 0.000 0.000
Sr 0.000 0.500 0.500
Sr 0.500 0.000 0.500
Sr 0.500 0.500 0.000
La 0.000 0.000 0.500
La 0.000 0.500 0.000
La 0.250 0.250 0.750
La 0.250 0.750 0.250
La 0.500 0.000 0.000
La 0.500 0.500 0.500
La 0.750 0.250 0.250
La 0.750 0.750 0.750
Pb 0.250 0.250 0.250
Pb 0.250 0.750 0.750
Pb 0.750 0.250 0.750
Pb 0.750 0.750 0.250
```


The following is a SCAN calculation of ScRe2Au at its PBEsol-relaxed geometry, from Alexandria. Values from VASP.

SG: Cmmm (65)
ΔE to the lowest computed polymorph in meV/atom: 152.0
E_form in eV/atom: 0.203

```
&SYSTEM
  ibrav = 0, nat = 8, ntyp = 3
/
ATOMIC_SPECIES
Sc 44.96 Sc.upf
Re 186.21 Re.upf
Au 196.97 Au.upf
CELL_PARAMETERS angstrom
5.519 0.000 0.000
0.000 8.552 0.000
0.000 0.000 2.696
ATOMIC_POSITIONS crystal
Sc 0.000 0.000 0.000
Sc 0.500 0.500 0.000
Re 0.250 0.250 0.500
Re 0.250 0.750 0.500
Re 0.750 0.250 0.500
Re 0.750 0.750 0.500
Au 0.000 0.500 0.000
Au 0.500 0.000 0.000
```


The following is a SCAN calculation of KFe2Te at its PBEsol-relaxed geometry, from Alexandria. Values from VASP.

Energy relative to the elements, uncorrected in eV per atom: 0.838
SG: C2/m (12)

```
&SYSTEM
  ibrav = 0, nat = 8, ntyp = 3
/
ATOMIC_SPECIES
K 39.10 K.upf
Fe 55.84 Fe.upf
Te 127.60 Te.upf
CELL_PARAMETERS angstrom
6.160 0.000 0.000
0.000 10.030 0.000
-1.315 0.000 2.566
ATOMIC_POSITIONS crystal
K 0.000 0.000 0.000
K 0.500 0.500 0.000
Fe 0.250 0.250 0.000
Fe 0.250 0.750 0.000
Fe 0.750 0.250 0.000
Fe 0.750 0.750 0.000
Te 0.000 0.500 0.000
Te 0.500 0.000 0.000
```


The following is a SCAN calculation of KAg2Ir at its PBEsol-relaxed geometry, from Alexandria. Values from VASP.

SG: C2/m (12)
ΔE to the lowest computed polymorph in meV/atom: 13.6
E_form in eV/atom: 0.501

```
&SYSTEM
  ibrav = 0, nat = 8, ntyp = 3
/
ATOMIC_SPECIES
K 39.10 K.upf
Ag 107.87 Ag.upf
Ir 192.22 Ir.upf
CELL_PARAMETERS angstrom
9.364 0.000 0.000
0.000 2.690 0.000
-0.547 0.000 6.506
ATOMIC_POSITIONS crystal
K 0.000 0.000 0.000
K 0.500 0.500 0.000
Ag 0.237 0.000 0.683
Ag 0.263 0.500 0.317
Ag 0.737 0.500 0.683
Ag 0.763 0.000 0.317
Ir 0.000 0.500 0.500
Ir 0.500 0.000 0.500
```


How do the records compare in total energy? In the order shown, they have -23.515 -34.847 -21.222 -15.116 -10.834 -30.952 -26.094 -18.311 -15.142 -21.070 -59.844 -24.437 -14.754 -24.185 -16.275 -41.161 -46.328 -56.194 -19.621 -35.039 eV per atom.
How do the records compare in total magnetization? In the order shown, they have 0.000 0.000 0.000 0.002 0.033 0.219 0.466 0.000 0.465 0.000 0.000 0.269 0.402 0.000 0.000 0.000 0.929 0.000 1.410 0.000 μB per atom.